The following is a PBE calculation of YPPbO2 after structural relaxation, from the Alexandria database.

Computed properties:
relative energy among the computed polymorphs = 311 meV/atom
magnetization = 0.000 μB per formula unit
DOS(E_F) = 1.39 states/eV per cell
uncorrected formation energy = -3.80 eV/f.u.

Structure (CIF):
```
data_YPPbO2
_cell_length_a 4.239
_cell_length_b 4.239
_cell_length_c 5.265
_cell_angle_alpha 90.00
_cell_angle_beta 90.00
_cell_angle_gamma 90.00
_symmetry_space_group_name_H-M 'P 4/m m m'
_symmetry_Int_Tables_number 123
_symmetry_space_group_name_Hall '-P 4 2'
loop_
_atom_site_label
_atom_site_fract_x
_atom_site_fract_y
_atom_site_fract_z
Y1 0.000 0.000 0.000
P1 0.500 0.500 0.000
Pb1 0.500 0.500 0.500
O1 0.000 0.500 0.500
```